# PBE LiFeH2, relaxed
# magnetization = 5.92 Bohr magnetons per cell
# polymorph energy (0 for the lowest one) = 0 meV/atom
data_LiFeH2
_chemical_formula_sum 'Li3 Fe3 H6'
_symmetry_space_group_name_H-M 'R -3 m'
_symmetry_Int_Tables_number 166
_symmetry_space_group_name_Hall '-R 3 2"'
_cell_length_a 2.6642
_cell_length_b 2.6642
_cell_length_c 13.6101
_cell_angle_alpha 90.00
_cell_angle_beta 90.00
_cell_angle_gamma 120.00
loop_
_atom_site_label
_atom_site_fract_x
_atom_site_fract_y
_atom_site_fract_z
Li1 0.0000 0.0000 0.0000
Fe1 0.0000 0.0000 0.5000
H1 0.0000 0.0000 0.2352